## BaHfIBr2 (meta-GGA SCAN)

Data for a crystal of BaHfIBr2 relaxed with PBEsol.

Unit cell a=6.225 b=6.194 c=6.194 alpha=90.00 beta=90.00 gamma=90.00
Each line ends with the local moment (μB).
Element x y z (fractional)
I (0.000, 0.000, 0.000)  0.00
Hf (0.500, 0.500, 0.500)  1.32
Ba (0.500, 0.000, 0.000)  0.03
Br (0.000, 0.000, 0.500)  0.00
Br (0.000, 0.500, 0.000)  0.00

Calculated values
Uncorrected energy (eV per atom): -35.118
Crystal system: tetragonal
Volume (A^3/atom): 47.8

## BaHgBr2 (meta-GGA SCAN)

Data for a crystal of BaHgBr2 relaxed with PBEsol.

Unit cell a=4.779 b=4.779 c=6.258 alpha=112.45 beta=112.45 gamma=90.00
Element x y z (fractional)
Hg (0.500, 0.500, 0.000)
Br (0.000, 0.000, 0.000)
Br (0.750, 0.250, 0.500)
Ba (0.250, 0.750, 0.500)

Calculated values
Uncorrected energy (eV per atom): -38.281
Polymorph energy (0 for the lowest one) (eV per formula unit): 0.47
Crystal system: tetragonal
Volume (A^3/atom): 30.1

## BaHgBr2 (meta-GGA SCAN)

Data for a crystal of BaHgBr2 relaxed with PBEsol.

Unit cell a=5.573 b=5.573 c=5.573 alpha=60.00 beta=60.00 gamma=60.00
Element x y z (fractional)
Hg (0.000, 0.000, 0.000)
Br (0.250, 0.250, 0.250)
Br (0.750, 0.750, 0.750)
Ba (0.500, 0.500, 0.500)

Calculated values
Uncorrected energy (eV per atom): -38.399
Polymorph energy (0 for the lowest one) (eV per formula unit): 0.00
Crystal system: cubic
Volume (A^3/atom): 30.6

## BaHgBr2 (meta-GGA SCAN)

Data for a crystal of BaHgBr2 relaxed with PBEsol.

Unit cell a=7.400 b=7.400 c=7.400 alpha=105.20 beta=105.20 gamma=118.39
Element x y z (fractional)
Hg (0.000, 0.000, 0.000)
Hg (0.250, 0.750, 0.500)
Br (0.840, 0.875, 0.465)
Br (0.410, 0.375, 0.535)
Br (0.125, 0.590, 0.965)
Br (0.625, 0.160, 0.035)
Ba (0.500, 0.500, 0.000)
Ba (0.750, 0.250, 0.500)

Calculated values
Uncorrected energy (eV per atom): -38.244
Polymorph energy (0 for the lowest one) (eV per formula unit): 0.62
Crystal system: tetragonal
Volume (A^3/atom): 38.3

## Ba3HgBr (meta-GGA SCAN)

Data for a crystal of Ba3HgBr relaxed with PBEsol.

Unit cell a=6.112 b=6.112 c=6.112 alpha=90.00 beta=90.00 gamma=90.00
Element x y z (fractional)
Hg (0.500, 0.500, 0.500)
Br (0.000, 0.000, 0.000)
Ba (0.000, 0.500, 0.000)
Ba (0.000, 0.000, 0.500)
Ba (0.500, 0.000, 0.000)

Calculated values
Uncorrected energy (eV per atom): -41.848
Crystal system: cubic
Volume (A^3/atom): 45.7

## BaHgBr3 (meta-GGA SCAN)

Data for a crystal of BaHgBr3 relaxed with PBEsol.

Unit cell a=5.598 b=5.598 c=5.598 alpha=90.00 beta=90.00 gamma=90.00
Element x y z (fractional)
Hg (0.000, 0.000, 0.000)
Br (0.000, 0.500, 0.000)
Br (0.000, 0.000, 0.500)
Br (0.500, 0.000, 0.000)
Ba (0.500, 0.500, 0.500)

Calculated values
Uncorrected energy (eV per atom): -34.413
Crystal system: cubic
Volume (A^3/atom): 35.1

## BaHgBr2 (meta-GGA SCAN)

Data for a crystal of BaHgBr2 relaxed with PBEsol.

Unit cell a=4.973 b=4.973 c=8.216 alpha=72.38 beta=72.38 gamma=60.00
Element x y z (fractional)
Hg (0.000, 0.000, 0.000)
Br (0.771, 0.771, 0.688)
Br (0.229, 0.229, 0.312)
Ba (0.500, 0.500, 0.500)

Calculated values
Uncorrected energy (eV per atom): -38.357
Polymorph energy (0 for the lowest one) (eV per formula unit): 0.17
Crystal system: trigonal
Volume (A^3/atom): 41.2

## BaSn2HgBr (meta-GGA SCAN)

Data for a crystal of BaSn2HgBr relaxed with PBEsol.

Unit cell a=5.360 b=5.360 c=6.350 alpha=90.00 beta=90.00 gamma=90.00
Each line ends with the local moment (μB).
Element x y z (fractional)
Br (0.000, 0.000, 0.500)  -0.07
Hg (0.000, 0.000, 0.000)  -0.04
Sn (0.000, 0.500, 0.000)  -0.21
Sn (0.500, 0.000, 0.000)  -0.21
Ba (0.500, 0.500, 0.500)  -0.07

Calculated values
Uncorrected energy (eV per atom): -40.084
Crystal system: tetragonal
Volume (A^3/atom): 36.5

## Ba2IBr (meta-GGA SCAN)

Data for a crystal of Ba2IBr relaxed with PBEsol.

Unit cell a=7.632 b=7.632 c=9.341 alpha=114.11 beta=114.11 gamma=90.00
Each line ends with the local moment (μB).
Element x y z (fractional)
I (0.250, 0.750, 0.500)  0.04
I (0.000, 0.000, 0.000)  0.04
Ba (0.852, 0.375, 0.250)  0.15
Ba (0.398, 0.875, 0.250)  0.15
Ba (0.625, 0.602, 0.750)  0.15
Ba (0.125, 0.148, 0.750)  0.15
Br (0.750, 0.250, 0.500)  0.03
Br (0.500, 0.500, 0.000)  0.03

Calculated values
Uncorrected energy (eV per atom): -35.254
Crystal system: tetragonal
Volume (A^3/atom): 55.5

## BaIBr (meta-GGA SCAN)

Data for a crystal of BaIBr relaxed with PBEsol.

Unit cell a=5.082 b=5.082 c=8.642 alpha=90.00 beta=90.00 gamma=90.00
Element x y z (fractional)
I (0.000, 0.500, 0.638)
I (0.500, 0.000, 0.362)
Ba (0.500, 0.000, 0.769)
Ba (0.000, 0.500, 0.231)
Br (0.000, 0.000, 0.000)
Br (0.500, 0.500, 0.000)

Calculated values
Uncorrected energy (eV per atom): -34.155
Polymorph energy (0 for the lowest one) (eV per formula unit): 0.09
Crystal system: tetragonal
Volume (A^3/atom): 37.2

## BaIBr (meta-GGA SCAN)

Data for a crystal of BaIBr relaxed with PBEsol.

Unit cell a=5.027 b=8.640 c=9.995 alpha=90.00 beta=90.00 gamma=90.00
Element x y z (fractional)
Ba (0.750, 0.270, 0.625)
Ba (0.250, 0.730, 0.375)
Ba (0.250, 0.230, 0.125)
Ba (0.750, 0.770, 0.875)
I (0.750, 0.528, 0.169)
I (0.250, 0.472, 0.831)
I (0.250, 0.972, 0.669)
I (0.750, 0.028, 0.331)
Br (0.750, 0.144, 0.934)
Br (0.250, 0.856, 0.066)
Br (0.250, 0.356, 0.434)
Br (0.750, 0.644, 0.566)

Calculated values
Uncorrected energy (eV per atom): -34.187
Polymorph energy (0 for the lowest one) (eV per formula unit): 0.00
Crystal system: orthorhombic
Volume (A^3/atom): 36.2

## Ba10IBr4N5 (meta-GGA SCAN)

Data for a crystal of Ba10IBr4N5 relaxed with PBEsol.

Unit cell a=7.139 b=8.290 c=10.909 alpha=73.64 beta=70.90 gamma=81.77
Element x y z (fractional)
Ba (0.250, 0.318, 0.732)
Ba (0.639, 0.317, 0.936)
Ba (0.446, 0.311, 0.338)
Ba (0.847, 0.313, 0.539)
Ba (0.046, 0.320, 0.139)
Ba (0.554, 0.689, 0.662)
Ba (0.954, 0.680, 0.861)
Ba (0.750, 0.682, 0.268)
Ba (0.153, 0.687, 0.461)
Ba (0.361, 0.683, 0.064)
I (0.000, 0.000, 0.000)
Br (0.400, 0.000, 0.201)
Br (0.800, 0.000, 0.400)
Br (0.200, 0.000, 0.600)
Br (0.600, 0.000, 0.799)
N (0.898, 0.500, 0.698)
N (0.301, 0.503, 0.898)
N (0.102, 0.500, 0.302)
N (0.500, 0.500, 0.500)
N (0.699, 0.497, 0.102)

Calculated values
Uncorrected energy (eV per atom): -29.184
Polymorph energy (0 for the lowest one) (eV per formula unit): 0.12
Crystal system: triclinic
Volume (A^3/atom): 29.2